[1]
DFT (PBE) results for a geometry-optimized TaSn2Br structure.

Computed properties:
The formation energy from raw total energies comes out at 3.23 eV/f.u. Its space-group type is I-42d (122). For the energy above the most stable polymorph in this dataset, the calculation gives 24 kJ/mol of formula units. The raw total energy is -4.58 eV per atom.

Lattice parameters (Å, degrees): 6.483 6.483 8.418 67.35 67.35 90.00
Sites, in units of the cell vectors:
Sn: 0.072 0.625 0.250
Ta: 0.000 0.000 0.000
Sn: 0.678 0.125 0.250
Sn: 0.375 0.322 0.750
Sn: 0.875 0.928 0.750
Br: 0.500 0.500 0.000
Ta: 0.750 0.250 0.500
Br: 0.250 0.750 0.500

---

[2]
DFT (PBE) results for a geometry-optimized TaSn3Br structure.

Computed properties:
The formation energy from raw total energies comes out at 7.05 eV/f.u. Its space-group type is Pm-3m (221). For the energy above the most stable polymorph in this dataset, the calculation gives 566 kJ/mol of formula units. The raw total energy is -3.70 eV per atom.

Lattice parameters (Å, degrees): 5.336 5.336 5.336 90.00 90.00 90.00
Sites, in units of the cell vectors:
Sn: 0.000 0.000 0.500
Sn: 0.000 0.500 0.000
Br: 0.000 0.000 0.000
Ta: 0.500 0.500 0.500
Sn: 0.500 0.000 0.000

---

[3]
DFT (PBE) results for a geometry-optimized TaSnBr2 structure.

Computed properties:
The formation energy from raw total energies comes out at 0.79 eV/f.u. Its space-group type is I-42d (122). For the energy above the most stable polymorph in this dataset, the calculation gives 0 kJ/mol of formula units. The raw total energy is -4.60 eV per atom.

Lattice parameters (Å, degrees): 9.116 9.116 7.035 49.62 49.62 90.00
Last column: magnetic moment on the atom in μB.
Sites, in units of the cell vectors:
Ta: 0.750 0.250 0.500  0.75
Br: 0.875 0.002 0.750  0.00
Br: 0.752 0.125 0.250  0.00
Sn: 0.250 0.750 0.500  -0.01
Br: 0.998 0.625 0.250  0.01
Sn: 0.500 0.500 0.000  -0.02
Br: 0.375 0.248 0.750  0.00
Ta: 0.000 0.000 0.000  0.76

---

[4]
DFT (PBE) results for a geometry-optimized YTaSn2Br structure.

Computed properties:
The formation energy from raw total energies comes out at 5.30 eV/f.u. Its space-group type is P4/mmm (123). For the energy above the most stable polymorph in this dataset, the calculation gives 133 kJ/mol of formula units. The raw total energy is -4.54 eV per atom.

Lattice parameters (Å, degrees): 5.813 5.215 5.813 90.00 90.00 90.00
Last column: magnetic moment on the atom in μB.
Sites, in units of the cell vectors:
Ta: 0.500 0.500 0.500  1.92
Sn: 0.000 0.000 0.500  -0.07
Y: 0.000 0.000 0.000  -0.06
Br: 0.000 0.500 0.000  0.01
Sn: 0.500 0.000 0.000  -0.07

---

[5]
DFT (PBE) results for a geometry-optimized YTaSn2Br structure.

Computed properties:
The formation energy from raw total energies comes out at 3.92 eV/f.u. Its space-group type is P4/mmm (123). For the energy above the most stable polymorph in this dataset, the calculation gives 0 kJ/mol of formula units. The raw total energy is -4.82 eV per atom.

Lattice parameters (Å, degrees): 5.550 4.704 5.550 90.00 90.00 90.00
Last column: magnetic moment on the atom in μB.
Sites, in units of the cell vectors:
Y: 0.500 0.500 0.500  0.02
Ta: 0.000 0.500 0.000  0.36
Sn: 0.500 0.000 0.000  0.00
Br: 0.000 0.000 0.000  0.00
Sn: 0.000 0.000 0.500  0.00

---

[6]
DFT (PBE) results for a geometry-optimized TaZn2SnBr structure.

Computed properties:
The formation energy from raw total energies comes out at 4.93 eV/f.u. Its space-group type is P4/mmm (123). The raw total energy is -3.03 eV per atom.

Lattice parameters (Å, degrees): 5.120 5.584 5.120 90.00 90.00 90.00
Last column: magnetic moment on the atom in μB.
Sites, in units of the cell vectors:
Sn: 0.000 0.000 0.000  -0.01
Zn: 0.000 0.000 0.500  0.02
Zn: 0.500 0.000 0.000  0.03
Br: 0.500 0.500 0.500  -0.01
Ta: 0.000 0.500 0.000  1.96